VASP calculation (GGA+U) on an optimized crystal structure of Li2Fe5O5F7.

Geometry as POSCAR:
```
Li2Fe5O5F7
1.0
5.8801 0.0000 0.0000
-0.9475 5.9037 0.0000
-0.9573 -1.1832 5.8062
Li Fe O F
2 5 5 7
direct
0.0000 0.0000 0.0000 Li
0.4387 0.7114 0.9212 Li
0.1632 0.5274 0.2579 Fe
0.3156 0.1013 0.5962 Fe
0.6543 0.2740 0.2124 Fe
0.6784 0.7831 0.4485 Fe
0.8900 0.4227 0.7307 Fe
0.3552 0.8058 0.4853 O
0.4836 0.5237 0.1953 O
0.6216 0.1994 0.5341 O
0.8967 0.3162 0.0152 O
0.9032 0.5353 0.4336 O
0.1223 0.7181 0.0046 F
0.1948 0.1798 0.3019 F
0.2412 0.4013 0.7208 F
0.4278 0.0723 0.9208 F
0.6963 0.6763 0.7638 F
0.7418 0.9378 0.1904 F
0.9940 0.9937 0.6437 F
```

Computed properties:
calculated density	4.169	g/cm³
total magnetic moment	19.0	μB per formula unit
total DFT energy (no corrections)	-107.216	eV/cell

***

VASP calculation (GGA+U) on an optimized crystal structure of CaPuNi2O6.

Geometry as POSCAR:
```
CaPuNi2O6
1.0
6.0426 0.0000 0.0000
0.0000 6.0426 0.0000
0.0000 0.0000 4.2734
Ca Pu Ni O
1 1 2 6
direct
0.0000 0.0000 0.0000 Ca
0.5000 0.5000 0.1053 Pu
0.0000 0.5000 0.1883 Ni
0.5000 0.0000 0.1883 Ni
0.0000 0.0000 0.5101 O
0.2628 0.2628 0.1223 O
0.2628 0.7372 0.1223 O
0.5000 0.5000 0.6073 O
0.7372 0.2628 0.1223 O
0.7372 0.7372 0.1223 O
```

Computed properties:
calculated density	5.294	g/cm³
total magnetic moment	5.8	μB per formula unit
total DFT energy (no corrections)	-66.151	eV/cell